Rb2HfBrCl5: relaxed, PBE-GGA.

Computed properties:
* density of states at the Fermi level: 0.00 states/eV/atom
* formation energy (no corrections): -1.9298 eV/atom

abc: 7.4521 7.4521 7.4521
angles: 89.72 120.16 120.16
Fractional coordinates of all 9 atoms:
Rb: 0.5000 0.2521 0.7521
Rb: 0.5000 0.7521 0.2521
Hf: 0.0000 0.0034 0.0034
Br: 0.0000 0.7529 0.7529
Cl: 0.4677 0.2348 0.2348
Cl: 0.5323 0.7671 0.7671
Cl: 0.0000 0.7671 0.2348
Cl: 0.0000 0.2348 0.7671
Cl: 0.0000 0.2358 0.2358